(1)
Below is Tb5Bi2Pt after structural relaxation, with properties calculated at the PBE-GGA level.

Calculated values
formation enthalpy at 0 K = -371 meV/atom
uncorrected energy = -4.99 eV/atom

abc: 5.591 8.402 13.727
angles: 90.00 90.00 109.43
Atoms (fractional coordinates):
Tb 0.920 0.840 0.884
Tb 0.920 0.840 0.616
Tb 0.298 0.596 0.439
Tb 0.298 0.596 0.061
Tb 0.720 0.439 0.250
Tb 0.280 0.561 0.750
Tb 0.702 0.404 0.561
Tb 0.702 0.404 0.939
Tb 0.080 0.160 0.116
Tb 0.080 0.160 0.384
Bi 0.880 0.759 0.396
Bi 0.880 0.759 0.104
Bi 0.120 0.241 0.604
Bi 0.120 0.241 0.896
Pt 0.791 0.582 0.750
Pt 0.209 0.418 0.250

=====

(2)
Below is Tb5BiPt2 after structural relaxation, with properties calculated at the PBE-GGA level.

Calculated values
formation enthalpy at 0 K = -919 meV/atom
uncorrected energy = -5.81 eV/atom

abc: 8.856 8.856 8.856
angles: 127.21 127.21 77.91
Atoms (fractional coordinates):
Tb 0.000 0.000 0.000
Tb 0.500 0.500 0.000
Tb 0.792 0.292 0.812
Tb 0.208 0.708 0.188
Tb 0.480 0.980 0.188
Tb 0.292 0.480 0.500
Tb 0.020 0.208 0.500
Tb 0.520 0.020 0.812
Tb 0.708 0.520 0.500
Tb 0.980 0.792 0.500
Bi 0.250 0.250 0.000
Bi 0.750 0.750 0.000
Pt 0.139 0.639 0.777
Pt 0.861 0.361 0.223
Pt 0.639 0.861 0.500
Pt 0.361 0.139 0.500

=====

(3)
Below is TbBiPt2 after structural relaxation, with properties calculated at the PBE-GGA level.

Calculated values
formation enthalpy at 0 K = -714 meV/atom
uncorrected energy = -5.86 eV/atom

abc: 3.756 4.772 4.772
angles: 90.00 90.00 90.00
Atoms (fractional coordinates):
Tb 0.500 0.500 0.500
Bi 0.500 0.000 0.000
Pt 0.000 0.000 0.500
Pt 0.000 0.500 0.000